Record 1
Entry from Alexandria: a relaxed YAlV3 crystal (PBE-GGA).

Its calculated formation energy is 21.6 kcal/mol of atoms. The density of states at the Fermi level is 1.929 states/eV/atom. The calculation puts the calculated total energy at -0.4834 Ry/atom. The calculation puts the calculated density at 4.371 Mg/m³. The calculation puts the relative energy among the computed polymorphs at 0 meV per atom.

The space group is Pm-3m (No. 221) and the conventional cell measures 4.674, 4.674 and 4.674 Å, with angles of 90.00, 90.00 and 90.00 degrees. The inequivalent atoms are Y at (0.000, 0.000, 0.000), Al at (0.500, 0.500, 0.500) and V at (0.000, 0.500, 0.500).

Record 2
Entry from Alexandria: a relaxed YAlV2 crystal (PBE-GGA).

Its calculated formation energy is 15.4 kcal/mol of atoms. The density of states at the Fermi level is 1.385 states/eV/atom. The calculation puts the calculated total energy at -0.4735 Ry/atom. The calculation puts the calculated density at 4.656 Mg/m³.

The space group is I-42d (No. 122) and the conventional cell measures 7.474, 7.474 and 5.560 Å, with angles of 90.00, 90.00 and 90.00 degrees. The inequivalent atoms are Y at (0.000, 0.000, 0.000), Al at (0.000, 0.000, 0.500) and V at (0.216, 0.250, 0.625).

Record 3
Entry from Alexandria: a relaxed Y2AlV crystal (PBE-GGA).

Its calculated formation energy is 5.9 kcal/mol of atoms. The density of states at the Fermi level is 0.975 states/eV/atom. The calculation puts the calculated total energy at -0.4551 Ry/atom. The calculation puts the calculated density at 4.358 Mg/m³.

The space group is R-3m (No. 166, hexagonal axes) and the conventional cell measures 3.4617, 3.4617 and 28.1650 Å, with angles of 90.00, 90.00 and 120.00 degrees. The inequivalent atoms are Y at (0.0000, 0.0000, 0.2474), Al at (0.0000, 0.0000, 0.0000) and V at (0.0000, 0.0000, 0.5000).

Record 4
Entry from Alexandria: a relaxed YAl2V2 crystal (PBE-GGA).

Its calculated formation energy is -2.4 kcal/mol of atoms. The density of states at the Fermi level is 0.860 states/eV/atom. The calculation puts the calculated total energy at -0.4807 Ry/atom. The calculation puts the calculated density at 4.678 Mg/m³. The calculation puts the relative energy among the computed polymorphs at 4 meV per atom.

The space group is P4/mbm (No. 127) and the conventional cell measures 7.893, 7.893 and 2.789 Å, with angles of 90.00, 90.00 and 90.00 degrees. The inequivalent atoms are Y at (0.000, 0.000, 0.000), Al at (0.182, 0.318, 0.500) and V at (0.107, 0.607, 0.000).

Record 5
Entry from Alexandria: a relaxed Y2AlV2 crystal (PBE-GGA).

Its calculated formation energy is 3.3 kcal/mol of atoms. The density of states at the Fermi level is 1.040 states/eV/atom. The calculation puts the calculated total energy at -0.5026 Ry/atom. The calculation puts the calculated density at 4.748 Mg/m³.

The space group is P4/mbm (No. 127) and the conventional cell measures 6.964, 6.964 and 4.423 Å, with angles of 90.00, 90.00 and 90.00 degrees. The inequivalent atoms are Y at (0.177, 0.323, 0.000), Al at (0.000, 0.000, 0.500) and V at (0.117, 0.617, 0.500).

Record 6
Entry from Alexandria: a relaxed Yb6Al43V4 crystal (PBE-GGA).

Its calculated formation energy is -6.7 kcal/mol of atoms. The density of states at the Fermi level is 0.409 states/eV/atom. The calculation puts the calculated total energy at -0.3078 Ry/atom. The calculation puts the calculated density at 4.325 Mg/m³.

The space group is P6_3/mcm (No. 193) and the conventional cell measures 10.9802, 10.9802 and 17.6665 Å, with angles of 90.00, 90.00 and 120.00 degrees. The inequivalent atoms are Yb at (0.0000, 0.4703, 0.0949), Al at (0.0000, 0.1460, 0.7500), Al at (0.0000, 0.1561, 0.1153), Al at (0.0000, 0.2515, 0.5303), Al at (0.1453, 0.5470, 0.2500), Al at (0.1583, 0.3923, 0.6649), Al at (0.2469, 0.4938, 0.0000), Al at (0.3333, 0.6667, 0.1266), V at (0.0000, 0.0000, 0.0000) and V at (0.0000, 0.2668, 0.2500).

Record 7
Entry from Alexandria: a relaxed AlV3Zn3 crystal (PBE-GGA).

Its calculated formation energy is -1.3 kcal/mol of atoms. The density of states at the Fermi level is 0.751 states/eV/atom. The calculation puts the calculated total energy at -0.3708 Ry/atom. The calculation puts the calculated density at 6.347 Mg/m³.

The space group is P6_3/m (No. 176) and the conventional cell measures 7.1732, 7.1732 and 4.4155 Å, with angles of 90.00, 90.00 and 120.00 degrees. The inequivalent atoms are Al at (0.3333, 0.6667, 0.2500), V at (0.1039, 0.6232, 0.7500) and Zn at (0.0486, 0.8090, 0.2500).

Record 8
Entry from Alexandria: a relaxed AlV2Zn crystal (PBE-GGA).

Its calculated formation energy is 8.6 kcal/mol of atoms. The density of states at the Fermi level is 0.826 states/eV/atom. The calculation puts the calculated total energy at -0.3998 Ry/atom. The calculation puts the calculated density at 5.343 Mg/m³.

The space group is I-42d (No. 122) and the conventional cell measures 6.877, 6.877 and 5.107 Å, with angles of 90.00, 90.00 and 90.00 degrees. The inequivalent atoms are Al at (0.000, 0.000, 0.000), V at (0.246, 0.250, 0.625) and Zn at (0.000, 0.000, 0.500).

Record 9
Entry from Alexandria: a relaxed Al3V12Zn crystal (PBE-GGA).

Its calculated formation energy is -2.1 kcal/mol of atoms. The density of states at the Fermi level is 1.909 states/eV/atom. The calculation puts the calculated total energy at -0.5669 Ry/atom. The calculation puts the calculated density at 5.707 Mg/m³.

The space group is Pmmm (No. 47) and the conventional cell measures 4.784, 4.802 and 9.596 Å, with angles of 90.00, 90.00 and 90.00 degrees. The inequivalent atoms are Al at (0.000, 0.000, 0.000), Al at (0.500, 0.500, 0.250), V at (0.000, 0.250, 0.251), V at (0.248, 0.500, 0.500), V at (0.253, 0.500, 0.000), V at (0.500, 0.000, 0.130), V at (0.500, 0.000, 0.377) and Zn at (0.000, 0.000, 0.500).

Record 10
Entry from Alexandria: a relaxed Al8V2Zn crystal (PBE-GGA).

Its calculated formation energy is 3.4 kcal/mol of atoms. The density of states at the Fermi level is 0.607 states/eV/atom. The calculation puts the calculated total energy at -0.3197 Ry/atom. The calculation puts the calculated density at 3.365 Mg/m³.

The space group is C2/m (No. 12) and the conventional cell measures 11.706, 6.753 and 4.964 Å, with angles of 90.00, 105.47 and 90.00 degrees. The inequivalent atoms are Al at (0.053, 0.193, 0.276), Al at (0.160, 0.000, 0.853), Al at (0.226, 0.500, 0.583), V at (0.107, 0.500, 0.029) and Zn at (0.000, 0.500, 0.500).

Record 11
Entry from Alexandria: a relaxed AlV3Zn crystal (PBE-GGA).

Its calculated formation energy is 2.0 kcal/mol of atoms. The density of states at the Fermi level is 0.755 states/eV/atom. The calculation puts the calculated total energy at -0.4696 Ry/atom. The calculation puts the calculated density at 5.646 Mg/m³. The calculation puts the relative energy among the computed polymorphs at 0 meV per atom.

The space group is C2/m (No. 12) and the conventional cell measures 13.319, 4.561 and 5.145 Å, with angles of 90.00, 112.63 and 90.00 degrees. The inequivalent atoms are Al at (0.032, 0.000, 0.282), V at (0.096, 0.500, 0.100), V at (0.096, 0.500, 0.592), V at (0.250, 0.250, 0.500) and Zn at (0.197, 0.000, 0.947).

Record 12
Entry from Alexandria: a relaxed AlVZn2 crystal (PBE-GGA).

Its calculated formation energy is -3.4 kcal/mol of atoms. The density of states at the Fermi level is 0.341 states/eV/atom. The calculation puts the calculated total energy at -0.2940 Ry/atom. The calculation puts the calculated density at 6.137 Mg/m³.

The space group is P4/mmm (No. 123) and the conventional cell measures 3.803, 3.803 and 3.905 Å, with angles of 90.00, 90.00 and 90.00 degrees. The inequivalent atoms are Al at (0.000, 0.000, 0.000), V at (0.500, 0.500, 0.000) and Zn at (0.000, 0.500, 0.500).